Computed, not measured: crystalline Ac2Ga3Pd4 at its relaxed geometry at the PBE-GGA level of DFT.

Properties
The calculation puts the density of states at the Fermi level at 12.920 states/eV/cell. As for the formation enthalpy at 0 K: -0.767 eV/atom.

Cell and atoms, written as POSCAR:
```
Ac2Ga3Pd4
1.0
2.9382 -8.1375 0.0000
2.9382 8.1375 0.0000
0.0000 0.0000 7.7697
Ac Ga Pd
4 6 8
Direct
0.1109 0.8891 0.9174
0.3891 0.6109 0.4174
0.6109 0.3891 0.5826
0.8891 0.1109 0.0826
0.0000 0.0000 0.5000
0.0236 0.4764 0.7500
0.4764 0.0236 0.2500
0.5000 0.5000 0.0000
0.5236 0.9764 0.7500
0.9764 0.5236 0.2500
0.1860 0.8140 0.5188
0.1869 0.3131 0.7500
0.3131 0.1869 0.2500
0.3140 0.6860 0.0188
0.6860 0.3140 0.9812
0.6869 0.8131 0.7500
0.8131 0.6869 0.2500
0.8140 0.1860 0.4812
```



Computed, not measured: crystalline Ca3PS at its relaxed geometry at the PBE-GGA level of DFT.

Properties
The energy above the most stable polymorph in this dataset comes out at 0.0 meV/atom. The calculation puts the density of states at the Fermi level at 4.584 states/eV/cell. The calculation puts the uncorrected formation energy at -870.0 meV per atom.

Cell and atoms, written as POSCAR:
```
Ca3PS
1.0
5.2076 0.0000 0.0000
0.0000 5.2076 0.0000
0.0000 0.0000 5.2076
Ca P S
3 1 1
Direct
0.0000 0.0000 0.5000
0.0000 0.5000 0.0000
0.5000 0.0000 0.0000
0.5000 0.5000 0.5000
0.0000 0.0000 0.0000
```



Computed, not measured: crystalline ScHgTe2 at its relaxed geometry at the PBE-GGA level of DFT.

Properties
The calculation puts the density of states at the Fermi level at 1.900 states/eV/cell. The calculation puts the uncorrected formation energy at -575.0 meV per atom.

Cell and atoms, written as POSCAR:
```
ScHgTe2
1.0
-1.9322 2.0584 7.3158
1.9322 -2.0584 7.3158
1.9322 2.0584 -7.3158
Sc Hg Te
1 1 2
Direct
0.0000 0.0000 0.0000
0.7489 0.2489 0.5000
0.1482 0.6482 0.5000
0.4268 0.4268 0.0000
```



Computed, not measured: crystalline Li2SmTm2Sn2 at its relaxed geometry at the PBE-GGA level of DFT.

Properties
The calculation puts the density of states at the Fermi level at 4.011 states/eV/cell. As for the formation enthalpy at 0 K: -0.447 eV/atom.

Cell and atoms, written as POSCAR:
```
Li2SmTm2Sn2
1.0
2.3960 1.3833 8.7704
-2.3960 1.3833 8.7704
0.0000 -2.7667 8.7704
Li Sm Tm Sn
2 1 2 2
Direct
0.0901 0.0901 0.0901
0.9099 0.9099 0.9099
0.5000 0.5000 0.5000
0.3697 0.3697 0.3697
0.6303 0.6303 0.6303
0.2398 0.2398 0.2398
0.7602 0.7602 0.7602
```